[1]
DFT (PBE) results for Tb2Y8Er after structural relaxation.

Output
symmetry	C2/m, No. 12
ΔH_f (0 K)	0.161	eV/atom

a = 9.2440 Å, b = 9.2440 Å, c = 5.8793 Å
α = 105.45°, β = 105.45°, γ = 121.50°
Sites, in units of the cell vectors:
Tb: 0.1926 0.8074 0.0000
Tb: 0.8074 0.1926 0.0000
Y: 0.0746 0.0746 0.2949
Y: 0.1676 0.4017 0.8266
Y: 0.2936 0.7064 0.5000
Y: 0.4017 0.1676 0.8266
Y: 0.5983 0.8324 0.1734
Y: 0.7064 0.2936 0.5000
Y: 0.8324 0.5983 0.1734
Y: 0.9254 0.9254 0.7051
Er: 0.5000 0.5000 0.5000

=====

[2]
DFT (PBE) results for TaCoSb2 after structural relaxation.

Output
symmetry	I-42d, No. 122
uncorrected formation energy	0.52	eV/atom

a = 5.9491 Å, b = 5.9491 Å, c = 5.9491 Å
α = 105.61°, β = 105.61°, γ = 117.52°
Sites, in units of the cell vectors:
Ta: 0.0000 0.0000 0.0000
Ta: 0.7500 0.2500 0.5000
Co: 0.2500 0.7500 0.5000
Co: 0.5000 0.5000 0.0000
Sb: 0.1718 0.6250 0.0468
Sb: 0.3750 0.4218 0.5468
Sb: 0.5782 0.1250 0.9532
Sb: 0.8750 0.8282 0.4532

=====

[3]
DFT (PBE) results for Tb12Pm2Er5 after structural relaxation.

Output
symmetry	C2/m, No. 12
ΔH_f (0 K)	0.132	eV/atom

a = 9.1220 Å, b = 9.1220 Å, c = 8.5372 Å
α = 90.86°, β = 90.86°, γ = 60.65°
Sites, in units of the cell vectors:
Tb: 0.0595 0.0595 0.3324
Tb: 0.0659 0.6815 0.3435
Tb: 0.1631 0.5251 0.7578
Tb: 0.3185 0.9341 0.6565
Tb: 0.4075 0.4075 0.1175
Tb: 0.4749 0.8369 0.2422
Tb: 0.5251 0.1631 0.7578
Tb: 0.5925 0.5925 0.8825
Tb: 0.6815 0.0659 0.3435
Tb: 0.8369 0.4749 0.2422
Tb: 0.9341 0.3185 0.6565
Tb: 0.9405 0.9405 0.6676
Pm: 0.1807 0.8193 0.0000
Pm: 0.8193 0.1807 0.0000
Er: 0.1978 0.1978 0.0117
Er: 0.2688 0.2688 0.4259
Er: 0.5000 0.5000 0.5000
Er: 0.7312 0.7312 0.5741
Er: 0.8022 0.8022 0.9883

=====

Quick rundown of calculated volume, same order as above: 359.1 159.6 619.1 Å³ per cell